Run A
Density functional theory data (GGA-PBE) for crystalline YTcNO at its relaxed geometry.

abc: 4.7888 4.7888 4.3993
angles: 90.00 90.00 90.00
With the nearest neighbours (Å) after each atom.
Atoms (fractional coordinates):
N (0.7500, 0.7500, 0.4999)  2 Tc 2.20, 4 Y 2.39
N (0.2500, 0.2500, 0.5001)  2 Tc 2.20, 4 Y 2.39
O (0.7500, 0.2500, 0.0000)  2 Y 2.20, 4 Tc 2.39
O (0.2500, 0.7500, 0.0000)  2 Y 2.20, 4 Tc 2.39
Tc (0.2500, 0.2500, 0.0000)  2 N 2.20, 4 O 2.39
Tc (0.7500, 0.7500, 0.0000)  2 N 2.20, 4 O 2.39
Y (0.7500, 0.2500, 0.5000)  2 O 2.20, 4 N 2.39
Y (0.2500, 0.7500, 0.5000)  2 O 2.20, 4 N 2.39

Output
The space group is P4/mmm (123). The total magnetization comes out at 4.06 μB per cell.

***

Run B
Density functional theory data (GGA-PBE) for crystalline YTcNO at its relaxed geometry.

abc: 3.5371 5.1759 6.2127
angles: 90.00 90.00 90.00
With the nearest neighbours (Å) after each atom.
Atoms (fractional coordinates):
N (0.0000, 0.9658, 0.3604)  2 Tc 1.91
N (0.0000, 0.4658, 0.6396)  2 Tc 1.91
O (0.5000, 0.3372, 0.0700)  2 Tc 2.08-2.13, 2 Y 2.27
O (0.5000, 0.8372, 0.9300)  2 Tc 2.08-2.13, 2 Y 2.27
Tc (0.5000, 0.9809, 0.2429)  2 N 1.91, 2 O 2.08-2.13
Tc (0.5000, 0.4809, 0.7571)  2 N 1.91, 2 O 2.08-2.13
Y (0.0000, 0.4701, 0.2698)  2 O 2.27, 1 N 2.30
Y (0.0000, 0.9701, 0.7302)  2 O 2.27, 1 N 2.30

Output
The space group is Pmc2_1 (26). The total magnetization comes out at 0.00 μB per cell.

***

The structure with the most favorable energy is run B; the runner-up is 0.186 eV/atom above it.

***

Run A
Density functional theory data (GGA-PBE) for crystalline YTcNO at its relaxed geometry.

abc: 4.7760 4.7760 4.4220
angles: 90.00 90.00 90.00
With the nearest neighbours (Å) after each atom.
Atoms (fractional coordinates):
N (0.0000, 0.5000, 0.4982)  2 Tc 2.21, 4 Y 2.39
N (0.5000, 0.0000, 0.5018)  2 Tc 2.21, 4 Y 2.39
O (0.0000, 0.0000, 0.0000)  2 Y 2.21, 4 Tc 2.39
O (0.5000, 0.5000, 0.0000)  2 Y 2.21, 4 Tc 2.39
Tc (0.5000, 0.0000, 0.0014)  2 N 2.21, 4 O 2.39
Tc (0.0000, 0.5000, 0.9986)  2 N 2.21, 4 O 2.39
Y (0.0000, 0.0000, 0.5000)  2 O 2.21, 4 N 2.39
Y (0.5000, 0.5000, 0.5000)  2 O 2.21, 4 N 2.39

Output
The space group is P4/nmm (129). The total magnetization comes out at 4.32 μB per cell.

***

Run B
Density functional theory data (GGA-PBE) for crystalline YTcNO at its relaxed geometry.

abc: 3.2906 5.7018 5.7118
angles: 90.00 90.00 90.00
With the nearest neighbours (Å) after each atom.
Atoms (fractional coordinates):
N (0.0000, 0.5280, 0.2072)  2 Tc 1.88-2.00
N (0.0000, 0.4720, 0.7072)  2 Tc 1.88-2.00
O (0.5000, 0.0630, 0.1254)  2 Y 2.18-2.19, 2 Tc 2.22
O (0.5000, 0.9370, 0.6254)  2 Y 2.18-2.19, 2 Tc 2.22
Tc (0.0000, 0.7279, 0.4686)  2 N 1.88-2.00
Tc (0.0000, 0.2721, 0.9686)  2 N 1.88-2.00
Y (0.5000, 0.2743, 0.4447)  2 O 2.18-2.19
Y (0.5000, 0.7257, 0.9447)  2 O 2.18-2.19

Output
The space group is Pmc2_1 (26). The total magnetization comes out at 0.00 μB per cell.

***

The structure with the most favorable energy is run B; the runner-up is 0.159 eV/atom above it.

***

Run A
Density functional theory data (GGA-PBE) for crystalline TmZnNO at its relaxed geometry.

abc: 3.6337 3.6337 7.6666
angles: 90.00 90.00 90.00
With the nearest neighbours (Å) after each atom.
Atoms (fractional coordinates):
N (0.7500, 0.7500, 0.3500)  4 Zn 2.15
N (0.2500, 0.2500, 0.6500)  4 Zn 2.15
O (0.7500, 0.2500, 0.0000)  4 Tm 2.15
O (0.2500, 0.7500, 0.0000)  4 Tm 2.15
Tm (0.2500, 0.2500, 0.1502)  4 O 2.15
Tm (0.7500, 0.7500, 0.8498)  4 O 2.15
Zn (0.7500, 0.2500, 0.5000)  4 N 2.15
Zn (0.2500, 0.7500, 0.5000)  4 N 2.15

Output
The space group is P4/nmm (129). The total magnetization comes out at 0.00 μB per cell.

***

Run B
Density functional theory data (GGA-PBE) for crystalline TmZnNO at its relaxed geometry.

abc: 3.5480 5.6196 5.8620
angles: 90.00 90.00 90.00
With the nearest neighbours (Å) after each atom.
Atoms (fractional coordinates):
N (0.0000, 0.8556, 0.3436)  2 Zn 1.96-1.98, 2 Tm 2.16
N (0.0000, 0.3556, 0.6564)  2 Zn 1.96-1.98, 2 Tm 2.16
O (0.5000, 0.3881, 0.1643)  2 Tm 2.15-2.17, 2 Zn 2.19
O (0.5000, 0.8881, 0.8357)  2 Tm 2.15-2.17, 2 Zn 2.19
Tm (0.5000, 0.0029, 0.1863)  2 O 2.15-2.17, 2 N 2.16
Tm (0.5000, 0.5029, 0.8137)  2 O 2.15-2.17, 2 N 2.16
Zn (0.0000, 0.5074, 0.3517)  2 N 1.96-1.98, 2 O 2.19
Zn (0.0000, 0.0074, 0.6484)  2 N 1.96-1.98, 2 O 2.19

Output
The space group is Pmc2_1 (26). The total magnetization comes out at 0.00 μB per cell.

***

The structure with the most favorable energy is run B; the runner-up is 0.066 eV/atom above it.

***

Run A
Density functional theory data (GGA-PBE) for crystalline TmZnNO at its relaxed geometry.

abc: 3.6839 4.9309 6.0648
angles: 90.00 90.00 90.00
With the nearest neighbours (Å) after each atom.
Atoms (fractional coordinates):
N (0.0000, 0.9298, 0.3254)  2 Zn 2.02, 1 Tm 2.22
N (0.0000, 0.4298, 0.6746)  2 Zn 2.02, 1 Tm 2.22
O (0.5000, 0.4010, 0.1418)  2 Zn 2.04-2.16, 2 Tm 2.12
O (0.5000, 0.9010, 0.8582)  2 Zn 2.04-2.16, 2 Tm 2.12
Tm (0.0000, 0.4570, 0.3091)  2 O 2.12, 2 N 2.22-2.33
Tm (0.0000, 0.9570, 0.6909)  2 O 2.12, 2 N 2.22-2.33
Zn (0.5000, 0.9662, 0.1901)  2 N 2.02, 2 O 2.04-2.16
Zn (0.5000, 0.4662, 0.8099)  2 N 2.02, 2 O 2.04-2.16

Output
The space group is Pmc2_1 (26). The total magnetization comes out at 0.00 μB per cell.

***

Run B
Density functional theory data (GGA-PBE) for crystalline TmZnNO at its relaxed geometry.

abc: 4.7050 4.7050 4.3563
angles: 90.00 90.00 90.00
With the nearest neighbours (Å) after each atom.
Atoms (fractional coordinates):
N (0.0000, 0.5000, 0.4998)  2 Zn 2.16-2.19, 4 Tm 2.35
N (0.5000, 0.0000, 0.5002)  2 Zn 2.16-2.19, 4 Tm 2.35
O (0.0000, 0.0000, 0.0000)  2 Tm 2.18, 4 Zn 2.35
O (0.5000, 0.5000, 0.0000)  2 Tm 2.18, 4 Zn 2.35
Tm (0.0000, 0.0000, 0.5000)  2 O 2.18, 4 N 2.35
Tm (0.5000, 0.5000, 0.5000)  2 O 2.18, 4 N 2.35
Zn (0.0000, 0.5000, 0.0030)  2 N 2.16-2.19, 4 O 2.35
Zn (0.5000, 0.0000, 0.9970)  2 N 2.16-2.19, 4 O 2.35

Output
The space group is P4/nmm (129). The total magnetization comes out at 0.00 μB per cell.

***

The structure with the most favorable energy is run A; the runner-up is 0.058 eV/atom above it.

***

Run A
Density functional theory data (GGA-PBE) for crystalline YZnNO at its relaxed geometry.

abc: 3.6805 3.6805 7.7709
angles: 90.00 90.00 90.00
With the nearest neighbours (Å) after each atom.
Atoms (fractional coordinates):
N (0.7500, 0.7500, 0.3562)  4 Zn 2.15
N (0.2500, 0.2500, 0.6438)  4 Zn 2.15
O (0.7500, 0.2500, 0.0000)  4 Y 2.19
O (0.2500, 0.7500, 0.0000)  4 Y 2.19
Y (0.2500, 0.2500, 0.1533)  4 O 2.19
Y (0.7500, 0.7500, 0.8467)  4 O 2.19
Zn (0.7500, 0.2500, 0.5000)  4 N 2.15
Zn (0.2500, 0.7500, 0.5000)  4 N 2.15

Output
The space group is P4/nmm (129). The total magnetization comes out at 0.00 μB per cell.

***

Run B
Density functional theory data (GGA-PBE) for crystalline YZnNO at its relaxed geometry.

abc: 5.6857 5.8935 7.4292
angles: 90.00 90.00 90.00
With the nearest neighbours (Å) after each atom.
Atoms (fractional coordinates):
N (0.6529, 0.0969, 0.1086)  3 Zn 1.95-2.00
N (0.1529, 0.4031, 0.1086)  3 Zn 1.95-2.00
N (0.6529, 0.5969, 0.8914)  3 Zn 1.95-2.00
N (0.1529, 0.9031, 0.8914)  3 Zn 1.95-2.00
O (0.6010, 0.6419, 0.4186)  3 Y 2.16-2.21
O (0.1010, 0.8581, 0.4186)  3 Y 2.16-2.21
O (0.6010, 0.1419, 0.5814)  3 Y 2.16-2.21
O (0.1010, 0.3581, 0.5814)  3 Y 2.16-2.21
Y (0.9596, 0.5294, 0.3481)  3 O 2.16-2.21, 1 N 2.22
Y (0.4596, 0.9706, 0.3481)  3 O 2.16-2.21, 1 N 2.22
Y (0.9596, 0.0294, 0.6519)  3 O 2.16-2.21, 1 N 2.22
Y (0.4596, 0.4706, 0.6519)  3 O 2.16-2.21, 1 N 2.22
Zn (0.9889, 0.1142, 0.0609)  3 N 1.95-2.00
Zn (0.4889, 0.3858, 0.0609)  3 N 1.95-2.00
Zn (0.9889, 0.6142, 0.9391)  3 N 1.95-2.00
Zn (0.4889, 0.8858, 0.9391)  3 N 1.95-2.00

Output
The space group is Pca2_1 (29). The total magnetization comes out at 0.00 μB per cell.

***

The structure with the most favorable energy is run B; the runner-up is 0.067 eV/atom above it.